1.
Material: Np2U3P2
Method: DFT, PBE
State: relaxed

Cell lengths 3.780, 6.635, 8.060 Å; angles 43.12, 103.56, 90.00 degrees
Positions (direct):
Np 0.884 0.712 0.768
Np 0.116 0.288 0.232
U 0.000 0.000 0.000
U 0.645 0.491 0.291
U 0.355 0.509 0.709
P 0.653 0.910 0.306
P 0.347 0.090 0.694

Values from the calculation:
- electronic total energy (Ha/atom) = -0.39140
- size of the total moment (μB per cell) = 0.0
- DOS at the Fermi energy (states/eV/atom) = 2.0469
- ΔH_f (0 K) (eV/atom) = -0.57


2.
Material: Np2U4P3
Method: DFT, PBE
State: relaxed

Cell lengths 5.893, 7.911, 7.911 Å; angles 79.79, 78.24, 78.24 degrees
Positions (direct):
Np 0.597 0.427 0.179
Np 0.903 0.821 0.573
Np 0.403 0.573 0.821
Np 0.097 0.179 0.427
U 0.494 0.265 0.963
U 0.006 0.037 0.735
U 0.506 0.735 0.037
U 0.994 0.963 0.265
U 0.971 0.471 0.251
U 0.529 0.749 0.529
U 0.029 0.529 0.749
U 0.471 0.251 0.471
P 0.990 0.240 0.995
P 0.510 0.005 0.760
P 0.010 0.760 0.005
P 0.490 0.995 0.240
P 0.750 0.383 0.617
P 0.250 0.617 0.383

Values from the calculation:
- electronic total energy (Ha/atom) = -0.37465
- size of the total moment (μB per cell) = 0.0
- DOS at the Fermi energy (states/eV/atom) = 1.9754
- ΔH_f (0 K) (eV/atom) = -0.50


3.
Material: NpU2P3
Method: DFT, PBE
State: relaxed

Cell lengths 5.561, 7.753, 11.973 Å; angles 90.00, 90.00, 90.00 degrees
Positions (direct):
Np 0.250 0.875 0.083
Np 0.250 0.375 0.417
Np 0.750 0.625 0.583
Np 0.750 0.125 0.917
U 0.250 0.875 0.751
U 0.250 0.375 0.749
U 0.250 0.875 0.417
U 0.250 0.375 0.083
U 0.750 0.625 0.917
U 0.750 0.125 0.583
U 0.750 0.625 0.251
U 0.750 0.125 0.249
P 0.250 0.626 0.584
P 0.250 0.126 0.916
P 0.250 0.624 0.915
P 0.250 0.124 0.585
P 0.250 0.625 0.250
P 0.250 0.125 0.250
P 0.750 0.875 0.750
P 0.750 0.375 0.750
P 0.750 0.876 0.415
P 0.750 0.376 0.085
P 0.750 0.874 0.084
P 0.750 0.374 0.416

Values from the calculation:
- electronic total energy (Ha/atom) = -0.35071
- size of the total moment (μB per cell) = 15.2
- DOS at the Fermi energy (states/eV/atom) = 2.8300
- ΔH_f (0 K) (eV/atom) = -0.92